(1)
Compound: LiAgMoBr6
Source: Alexandria
Functional: PBE-GGA
Structure: optimized geometry

a = 6.7507 Å, b = 6.7507 Å, c = 12.3885 Å
α = 90.00°, β = 90.00°, γ = 120.00°
Closest atoms and distances in Å follow each position.
Fractional positions:
Li (0.3333, 0.6667, 0.2500)  6 Br 2.70
Li (0.6667, 0.3333, 0.7500)  6 Br 2.70
Ag (0.0000, 0.0000, 0.0000)  6 Br 2.90
Ag (0.0000, 0.0000, 0.5000)  6 Br 2.90
Mo (0.3333, 0.6667, 0.7500)  6 Br 2.56
Mo (0.6667, 0.3333, 0.2500)  6 Br 2.56
Br (0.0160, 0.3639, 0.6306)  1 Mo 2.56, 1 Li 2.70
Br (0.0160, 0.6521, 0.8694)  1 Mo 2.56, 1 Li 2.70
Br (0.3479, 0.3639, 0.8694)  1 Mo 2.56, 1 Li 2.70
Br (0.3479, 0.9840, 0.6306)  1 Mo 2.56, 1 Li 2.70
Br (0.3639, 0.0160, 0.1306)  1 Mo 2.56, 1 Li 2.70
Br (0.3639, 0.3479, 0.3694)  1 Mo 2.56, 1 Li 2.70
Br (0.6361, 0.6521, 0.6306)  1 Mo 2.56, 1 Li 2.70
Br (0.6361, 0.9840, 0.8694)  1 Mo 2.56, 1 Li 2.70
Br (0.6521, 0.0160, 0.3694)  1 Mo 2.56, 1 Li 2.70
Br (0.6521, 0.6361, 0.1306)  1 Mo 2.56, 1 Li 2.70
Br (0.9840, 0.3479, 0.1306)  1 Mo 2.56, 1 Li 2.70
Br (0.9840, 0.6361, 0.3694)  1 Mo 2.56, 1 Li 2.70

- formation energy from raw total energies (eV per atom) = -0.665
- N(E_F) (states/eV per cell) = 11.85
- calculated density (g/cm³) = 4.69
- space-group type = P-31c, No. 163

(2)
Compound: LiAgBrN2
Source: Alexandria
Functional: PBE-GGA
Structure: optimized geometry

a = 4.0607 Å, b = 4.0607 Å, c = 6.2706 Å
α = 90.00°, β = 90.00°, γ = 90.00°
Closest atoms and distances in Å follow each position.
Fractional positions:
Li (0.0000, 0.0000, 0.0000)  4 N 2.03
Ag (0.0000, 0.0000, 0.5000)  4 Br 2.87, 2 Li 3.14
Br (0.5000, 0.5000, 0.5000)  4 Ag 2.87
N (0.0000, 0.5000, 0.0000)  2 Li 2.03
N (0.5000, 0.0000, 0.0000)  2 Li 2.03

- formation energy from raw total energies (eV per atom) = 1.504
- N(E_F) (states/eV per cell) = 0.94
- calculated density (g/cm³) = 3.58
- space-group type = P4/mmm, No. 123

(3)
Compound: Na2LiAgBr4
Source: Alexandria
Functional: PBE-GGA
Structure: optimized geometry

a = 9.0429 Å, b = 7.8535 Å, c = 7.2015 Å
α = 90.00°, β = 90.00°, γ = 90.00°
Closest atoms and distances in Å follow each position.
Fractional positions:
Na (0.2489, 0.1782, 0.0000)  4 Br 2.83-2.88
Na (0.2511, 0.8218, 0.5000)  4 Br 2.83-2.88
Na (0.7489, 0.8218, 0.5000)  4 Br 2.83-2.88
Na (0.7511, 0.1782, 0.0000)  4 Br 2.83-2.88
Li (0.0000, 0.6654, 0.9982)  4 Br 2.54-2.59
Li (0.5000, 0.3346, 0.4982)  4 Br 2.54-2.59
Ag (0.0000, 0.3319, 0.4903)  4 Br 2.74-2.76
Ag (0.5000, 0.6681, 0.9903)  4 Br 2.74-2.76
Br (0.0000, 0.3625, 0.8716)  1 Li 2.55, 1 Ag 2.76, 2 Na 2.83
Br (0.0000, 0.6563, 0.3503)  1 Li 2.54, 1 Ag 2.74, 2 Na 2.83
Br (0.2384, 0.8241, 0.8991)  1 Li 2.59, 1 Ag 2.74, 2 Na 2.88
Br (0.2616, 0.1759, 0.3991)  1 Li 2.59, 1 Ag 2.74, 2 Na 2.88
Br (0.5000, 0.3437, 0.8503)  1 Li 2.54, 1 Ag 2.74, 2 Na 2.83
Br (0.5000, 0.6375, 0.3716)  1 Li 2.55, 1 Ag 2.76, 2 Na 2.83
Br (0.7384, 0.1759, 0.3991)  1 Li 2.59, 1 Ag 2.74, 2 Na 2.88
Br (0.7616, 0.8241, 0.8991)  1 Li 2.59, 1 Ag 2.74, 2 Na 2.88

- formation energy from raw total energies (eV per atom) = -1.223
- N(E_F) (states/eV per cell) = 0.00
- calculated density (g/cm³) = 3.12
- space-group type = Pmn2_1, No. 31

(4)
Compound: Na3LiAg4Br8
Source: Alexandria
Functional: PBE-GGA
Structure: optimized geometry

a = 8.2386 Å, b = 8.2386 Å, c = 8.3099 Å
α = 119.14°, β = 119.14°, γ = 61.59°
Closest atoms and distances in Å follow each position.
Fractional positions:
Na (0.0000, 0.0000, 0.0000)  6 Br 2.96-2.99
Na (0.0000, 0.5000, 0.5000)  6 Br 2.98
Na (0.5000, 0.0000, 0.5000)  6 Br 2.98
Li (0.5000, 0.5000, 0.0000)  6 Br 2.78-3.10
Ag (0.0000, 0.0000, 0.5000)  2 Br 2.73
Ag (0.0000, 0.5000, 0.0000)  6 Br 2.86-2.96
Ag (0.5000, 0.0000, 0.0000)  6 Br 2.86-2.96
Ag (0.5000, 0.5000, 0.5000)  6 Br 2.87-2.94
Br (0.2339, 0.2339, 0.7360)  3 Ag 2.73-2.96, 2 Na 2.98
Br (0.2542, 0.2542, 0.2509)  3 Ag 2.87-2.94, 3 Na 2.96-2.98
Br (0.2624, 0.7275, 0.2314)  1 Li 2.78, 2 Ag 2.86-2.94, 2 Na 2.98-2.99
Br (0.2725, 0.7376, 0.7686)  1 Li 2.78, 2 Ag 2.86-2.94, 2 Na 2.98-2.99
Br (0.7275, 0.2624, 0.2314)  1 Li 2.78, 2 Ag 2.86-2.94, 2 Na 2.98-2.99
Br (0.7376, 0.2725, 0.7686)  1 Li 2.78, 2 Ag 2.86-2.94, 2 Na 2.98-2.99
Br (0.7458, 0.7458, 0.7491)  3 Ag 2.87-2.94, 3 Na 2.96-2.98
Br (0.7661, 0.7661, 0.2640)  3 Ag 2.73-2.96, 2 Na 2.98

- formation energy from raw total energies (eV per atom) = -0.912
- N(E_F) (states/eV per cell) = 0.00
- calculated density (g/cm³) = 4.66
- space-group type = C2/m, No. 12

(5)
Compound: NaLiAg2Br6
Source: Alexandria
Functional: PBE-GGA
Structure: optimized geometry

a = 8.6655 Å, b = 8.6655 Å, c = 10.2450 Å
α = 111.99°, β = 111.99°, γ = 72.34°
Closest atoms and distances in Å follow each position.
Fractional positions:
Na (0.2430, 0.7570, 0.7500)  6 Br 2.98-3.01
Na (0.7570, 0.2430, 0.2500)  6 Br 2.98-3.01
Li (0.1829, 0.8171, 0.2500)  4 Br 2.57-2.59
Li (0.8171, 0.1829, 0.7500)  4 Br 2.57-2.59
Ag (0.3143, 0.3540, 0.9039)  4 Br 2.57-2.66
Ag (0.3540, 0.3143, 0.4039)  4 Br 2.57-2.66
Ag (0.6460, 0.6857, 0.5961)  4 Br 2.57-2.66
Ag (0.6857, 0.6460, 0.0961)  4 Br 2.57-2.66
Br (0.1217, 0.1336, 0.2640)  1 Ag 2.57, 1 Li 2.59
Br (0.1336, 0.1217, 0.7640)  1 Ag 2.57, 1 Li 2.59
Br (0.2658, 0.3830, 0.6429)  2 Ag 2.64
Br (0.3112, 0.6835, 0.0339)  1 Li 2.57, 1 Ag 2.66
Br (0.3165, 0.6888, 0.4661)  1 Li 2.57, 1 Ag 2.66
Br (0.3830, 0.2658, 0.1429)  2 Ag 2.64
Br (0.6170, 0.7342, 0.8571)  2 Ag 2.64
Br (0.6835, 0.3112, 0.5339)  1 Li 2.57, 1 Ag 2.66
Br (0.6888, 0.3165, 0.9661)  1 Li 2.57, 1 Ag 2.66
Br (0.7342, 0.6170, 0.3571)  2 Ag 2.64
Br (0.8664, 0.8783, 0.2360)  1 Ag 2.57, 1 Li 2.59
Br (0.8783, 0.8664, 0.7360)  1 Ag 2.57, 1 Li 2.59

- formation energy from raw total energies (eV per atom) = -0.701
- N(E_F) (states/eV per cell) = 5.19
- calculated density (g/cm³) = 3.71
- space-group type = C2/c, No. 15

(6)
Compound: LiNdAg2Br6
Source: Alexandria
Functional: PBE-GGA
Structure: optimized geometry

a = 7.2394 Å, b = 7.2421 Å, c = 7.8094 Å
α = 62.46°, β = 62.57°, γ = 60.12°
Closest atoms and distances in Å follow each position.
Fractional positions:
Li (0.0000, 0.0000, 0.0000)  6 Br 2.69-2.92
Nd (0.5167, 0.5156, 0.4524)  6 Br 2.88-2.95
Ag (0.2073, 0.2033, 0.3857)  5 Br 2.80-3.11
Ag (0.7685, 0.7696, 0.6930)  3 Br 2.65
Br (0.1208, 0.7760, 0.7139)  1 Ag 2.65, 1 Li 2.92, 1 Nd 2.95
Br (0.2576, 0.6171, 0.2087)  1 Li 2.70, 1 Ag 2.80, 1 Nd 2.88
Br (0.3887, 0.1203, 0.7149)  1 Ag 2.65, 1 Li 2.92, 1 Nd 2.95
Br (0.6194, 0.9149, 0.2078)  1 Li 2.69, 1 Ag 2.80, 1 Nd 2.88
Br (0.7740, 0.3891, 0.7175)  1 Ag 2.65, 1 Li 2.91, 1 Nd 2.95
Br (0.9167, 0.2568, 0.2099)  1 Li 2.70, 1 Ag 2.80, 1 Nd 2.88

- formation energy from raw total energies (eV per atom) = -1.155
- N(E_F) (states/eV per cell) = 0.00
- calculated density (g/cm³) = 4.68
- space-group type = P1, No. 1

- Which of these has the lowest calculated density?
  Na2LiAgBr4